# NbBiOs (PBE, relaxed)
# ΔE_f   81 meV per atom
# Magnetic moment   0.00 μB/f.u.
# Crystal system   monoclinic
data_NbBiOs
_space_group_name_H-M_alt 'P 1'
_space_group_IT_number 1
_cell_length_a 4.581
_cell_length_b 4.581
_cell_length_c 9.234
_cell_angle_alpha 119.81
_cell_angle_beta 119.81
_cell_angle_gamma 59.96
loop_
_space_group_symop_operation_xyz
'x,y,z'
loop_
_atom_site_label
_atom_site_type_symbol
_atom_site_fract_x
_atom_site_fract_y
_atom_site_fract_z
Nb1 Nb 0.753 0.753 0.879
Nb2 Nb 0.247 0.247 0.121
Os1 Os 0.970 0.970 0.205
Os2 Os 0.030 0.030 0.795
Bi1 Bi 0.268 0.268 0.653
Bi2 Bi 0.732 0.732 0.347